Version i
The following is a DFT calculation (PBE-GGA) of a relaxed structure of Ho4Tl3H2.

## Properties
M_tot   0.00 Bohr magnetons per cell

Cell lengths 10.853, 4.326, 8.406 Å; angles 90.00, 99.37, 90.00 degrees
Space group C2/m (No. 12)
One atom of each set of equivalent atoms:
Ho1 0.130 0.000 0.420 x4
Ho2 0.217 0.500 0.147 x4
Tl1 0.000 0.000 0.000 x2
Tl2 0.083 0.500 0.723 x4
H1 0.201 0.500 0.401 x4



Version ii
The following is a DFT calculation (PBE-GGA) of a relaxed structure of Ho4Tl3H2.

## Properties
M_tot   0.00 Bohr magnetons per cell

Cell lengths 13.943, 9.282, 6.401 Å; angles 90.00, 101.97, 90.00 degrees
Space group C2/c (No. 15)
One atom of each set of equivalent atoms:
Ho1 0.119 0.225 0.015 x8
Ho2 0.197 0.422 0.585 x8
Tl1 0.000 0.487 0.250 x4
Tl2 0.097 0.112 0.533 x8
H1 0.229 0.373 0.927 x8



Which of them is the most stable, and which is the least stable? version i and version ii, in that order.



Version i
The following is a DFT calculation (PBE-GGA) of a relaxed structure of Ho3TlH.

## Properties
M_tot   0.00 Bohr magnetons per cell

Cell lengths 7.205, 21.560, 6.308 Å; angles 90.00, 90.00, 90.00 degrees
Space group Cmce (No. 64)
One atom of each set of equivalent atoms:
Ho1 0.000 0.038 0.241 x8
Ho2 0.000 0.241 0.524 x8
Ho3 0.250 0.104 0.750 x8
Tl1 0.250 0.155 0.250 x8
H1 0.000 0.058 0.890 x8



Version ii
The following is a DFT calculation (PBE-GGA) of a relaxed structure of Ho3TlH.

## Properties
M_tot   1.54 Bohr magnetons per cell

Cell lengths 4.825, 4.825, 4.825 Å; angles 90.00, 90.00, 90.00 degrees
Space group Pm-3m (No. 221)
One atom of each set of equivalent atoms:
Ho1 0.000 0.000 0.500 x3
Tl1 0.500 0.500 0.500 x1
H1 0.000 0.000 0.000 x1



Which of them is the most stable, and which is the least stable? version ii and version i, in that order.



Version i
The following is a DFT calculation (PBE-GGA) of a relaxed structure of HoTm2H.

## Properties
M_tot   0.00 Bohr magnetons per cell

Cell lengths 3.5431, 3.5431, 25.0230 Å; angles 90.00, 90.00, 120.00 degrees
Space group R-3m (No. 166, hexagonal axes)
One atom of each set of equivalent atoms:
Ho1 0.0000 0.0000 0.0000 x3
Tm1 0.0000 0.0000 0.2205 x6
H1 0.0000 0.0000 0.5000 x3



Version ii
The following is a DFT calculation (PBE-GGA) of a relaxed structure of HoTm2H.

## Properties
M_tot   0.00 Bohr magnetons per cell

Cell lengths 3.307, 3.307, 8.338 Å; angles 90.00, 90.00, 90.00 degrees
Space group P4/mmm (No. 123)
One atom of each set of equivalent atoms:
Ho1 0.000 0.000 0.000 x1
Tm1 0.500 0.500 0.307 x2
H1 0.000 0.000 0.500 x1



Which of them is the most stable, and which is the least stable? version i and version ii, in that order.



Version i
The following is a DFT calculation (PBE-GGA) of a relaxed structure of YHoH.

## Properties
M_tot   0.00 Bohr magnetons per cell

Cell lengths 3.342, 3.342, 12.130 Å; angles 90.00, 90.00, 90.00 degrees
Space group I4mm (No. 107)
One atom of each set of equivalent atoms:
Y1 0.000 0.000 0.000 x2
Ho1 0.000 0.000 0.291 x2
H1 0.000 0.000 0.473 x2



Version ii
The following is a DFT calculation (PBE-GGA) of a relaxed structure of YHoH.

## Properties
M_tot   0.00 Bohr magnetons per cell

Cell lengths 3.6190, 3.6190, 5.5671 Å; angles 90.00, 90.00, 120.00 degrees
Space group P3m1 (No. 156)
One atom of each set of equivalent atoms:
Y1 0.0000 0.0000 0.0000 x1
Ho1 0.6667 0.3333 0.5112 x1
H1 0.3333 0.6667 0.7546 x1



Which of them is the most stable, and which is the least stable? version ii and version i, in that order.



Version i
The following is a DFT calculation (PBE-GGA) of a relaxed structure of YHoH.

## Properties
M_tot   0.02 Bohr magnetons per cell

Cell lengths 3.7346, 3.7346, 5.4426 Å; angles 90.00, 90.00, 120.00 degrees
Space group P-6m2 (No. 187)
One atom of each set of equivalent atoms:
Y1 0.0000 0.0000 0.0000 x1
Ho1 0.3333 0.6667 0.5000 x1
H1 0.0000 0.0000 0.5000 x1



Version ii
The following is a DFT calculation (PBE-GGA) of a relaxed structure of YHoH.

## Properties
M_tot   0.00 Bohr magnetons per cell

Cell lengths 3.5898, 3.5898, 11.2814 Å; angles 90.00, 90.00, 120.00 degrees
Space group P6_3mc (No. 186)
One atom of each set of equivalent atoms:
Y1 0.0000 0.0000 0.0000 x2
Ho1 0.3333 0.6667 0.2430 x2
H1 0.3333 0.6667 0.6210 x2



Which of them is the most stable, and which is the least stable? version i and version ii, in that order.



Version i
The following is a DFT calculation (PBE-GGA) of a relaxed structure of YHo2H.

## Properties
M_tot   0.00 Bohr magnetons per cell

Cell lengths 3.5932, 3.5932, 25.3024 Å; angles 90.00, 90.00, 120.00 degrees
Space group R-3m (No. 166, hexagonal axes)
One atom of each set of equivalent atoms:
Y1 0.0000 0.0000 0.0000 x3
Ho1 0.0000 0.0000 0.2203 x6
H1 0.0000 0.0000 0.5000 x3



Version ii
The following is a DFT calculation (PBE-GGA) of a relaxed structure of YHo2H.

## Properties
M_tot   0.00 Bohr magnetons per cell

Cell lengths 3.341, 3.341, 8.444 Å; angles 90.00, 90.00, 90.00 degrees
Space group P4/mmm (No. 123)
One atom of each set of equivalent atoms:
Y1 0.000 0.000 0.000 x1
Ho1 0.500 0.500 0.309 x2
H1 0.000 0.000 0.500 x1



Which of them is the most stable, and which is the least stable? version i and version ii, in that order.



Version i
The following is a DFT calculation (PBE-GGA) of a relaxed structure of HoZrH2.

## Properties
M_tot   0.00 Bohr magnetons per cell

Cell lengths 3.3521, 3.3521, 16.5211 Å; angles 90.00, 90.00, 120.00 degrees
Space group R-3m (No. 166, hexagonal axes)
One atom of each set of equivalent atoms:
Ho1 0.0000 0.0000 0.0000 x3
Zr1 0.0000 0.0000 0.5000 x3
H1 0.0000 0.0000 0.2331 x6



Version ii
The following is a DFT calculation (PBE-GGA) of a relaxed structure of HoZrH2.

## Properties
M_tot   0.00 Bohr magnetons per cell

Cell lengths 3.3471, 3.3471, 16.7677 Å; angles 90.00, 90.00, 120.00 degrees
Space group R3m (No. 160, hexagonal axes)
One atom of each set of equivalent atoms:
Ho1 0.0000 0.0000 0.0000 x3
Zr1 0.0000 0.0000 0.8220 x3
H1 0.0000 0.0000 0.4199 x3
H2 0.0000 0.0000 0.5689 x3



Which of them is the most stable, and which is the least stable? version i and version ii, in that order.



Version i
The following is a DFT calculation (PBE-GGA) of a relaxed structure of H4I.

## Properties
M_tot   0.63 Bohr magnetons per cell

Cell lengths 5.651, 5.651, 6.139 Å; angles 90.00, 90.00, 90.00 degrees
Space group I4/mmm (No. 139)
One atom of each set of equivalent atoms:
H1 0.000 0.430 0.000 x8
I1 0.000 0.000 0.000 x2



Version ii
The following is a DFT calculation (PBE-GGA) of a relaxed structure of H4I.

## Properties
M_tot   0.31 Bohr magnetons per cell

Cell lengths 3.871, 3.871, 3.871 Å; angles 90.00, 90.00, 90.00 degrees
Space group Pm-3m (No. 221)
One atom of each set of equivalent atoms:
H1 0.000 0.000 0.000 x1
H2 0.000 0.500 0.500 x3
I1 0.500 0.500 0.500 x1



Which of them is the most stable, and which is the least stable? version i and version ii, in that order.



Version i
The following is a DFT calculation (PBE-GGA) of a relaxed structure of H2I.

## Properties
M_tot   0.00 Bohr magnetons per cell

Cell lengths 5.826, 5.826, 4.821 Å; angles 90.00, 90.00, 90.00 degrees
Space group I4/mmm (No. 139)
One atom of each set of equivalent atoms:
H1 0.000 0.000 0.090 x4
I1 0.000 0.000 0.500 x2



Version ii
The following is a DFT calculation (PBE-GGA) of a relaxed structure of H2I.

## Properties
M_tot   0.68 Bohr magnetons per cell

Cell lengths 2.940, 6.918, 7.080 Å; angles 90.00, 90.00, 90.00 degrees
Space group Immm (No. 71)
One atom of each set of equivalent atoms:
H1 0.000 0.000 0.053 x4
I1 0.000 0.000 0.500 x2



Which of them is the most stable, and which is the least stable? version ii and version i, in that order.



Version i
The following is a DFT calculation (PBE-GGA) of a relaxed structure of In2HI.

## Properties
M_tot   0.00 Bohr magnetons per cell

Cell lengths 6.303, 6.303, 12.580 Å; angles 90.00, 90.00, 90.00 degrees
Space group I-42d (No. 122)
One atom of each set of equivalent atoms:
In1 0.097 0.250 0.125 x8
H1 0.000 0.000 0.000 x4
I1 0.000 0.000 0.500 x4



Version ii
The following is a DFT calculation (PBE-GGA) of a relaxed structure of In2HI.

## Properties
M_tot   0.00 Bohr magnetons per cell

Cell lengths 7.837, 7.837, 7.837 Å; angles 90.00, 90.00, 90.00 degrees
Space group Fm-3m (No. 225)
One atom of each set of equivalent atoms:
In1 0.250 0.250 0.250 x8
H1 0.000 0.000 0.000 x4
I1 0.000 0.000 0.500 x4



Which of them is the most stable, and which is the least stable? version i and version ii, in that order.



Version i
The following is a DFT calculation (PBE-GGA) of a relaxed structure of In2HI2.

## Properties
M_tot   0.00 Bohr magnetons per cell

Cell lengths 7.028, 7.028, 7.399 Å; angles 90.00, 90.00, 90.00 degrees
Space group I4/mmm (No. 139)
One atom of each set of equivalent atoms:
In1 0.000 0.500 0.250 x4
H1 0.000 0.000 0.000 x2
I1 0.000 0.000 0.256 x4



Version ii
The following is a DFT calculation (PBE-GGA) of a relaxed structure of In2HI2.

## Properties
M_tot   0.00 Bohr magnetons per cell

Cell lengths 6.848, 7.087, 7.850 Å; angles 66.81, 84.63, 73.34 degrees
Space group P-1 (No. 2)
One atom of each set of equivalent atoms:
In1 0.022 0.013 0.317 x2
In2 0.284 0.387 0.834 x2
H1 0.098 0.191 0.107 x2
I1 0.227 0.595 0.322 x2
I2 0.398 0.943 0.778 x2



Version iii
The following is a DFT calculation (PBE-GGA) of a relaxed structure of In2HI2.

## Properties
M_tot   2.00 Bohr magnetons per cell

Cell lengths 9.121, 9.121, 4.498 Å; angles 90.00, 90.00, 90.00 degrees
Space group P4/mbm (No. 127)
One atom of each set of equivalent atoms:
In1 0.134 0.366 0.000 x4
H1 0.000 0.000 0.500 x2
I1 0.174 0.674 0.500 x4



Which of them is the most stable, and which is the least stable? version ii and version iii, in that order.



Version i
The following is a DFT calculation (PBE-GGA) of a relaxed structure of InHI2N.

## Properties
M_tot   3.07 Bohr magnetons per cell

Cell lengths 6.184, 6.184, 4.303 Å; angles 90.00, 90.00, 90.00 degrees
Space group P4/mmm (No. 123)
One atom of each set of equivalent atoms:
In1 0.000 0.000 0.000 x1
H1 0.500 0.500 0.500 x1
I1 0.000 0.500 0.000 x2
N1 0.000 0.000 0.500 x1



Version ii
The following is a DFT calculation (PBE-GGA) of a relaxed structure of InHI2N.

## Properties
M_tot   1.95 Bohr magnetons per cell

Cell lengths 6.729, 6.729, 2.990 Å; angles 90.00, 90.00, 90.00 degrees
Space group P4/mmm (No. 123)
One atom of each set of equivalent atoms:
In1 0.000 0.000 0.000 x1
H1 0.500 0.500 0.500 x1
I1 0.000 0.500 0.500 x2
N1 0.500 0.500 0.000 x1



Which of them is the most stable, and which is the least stable? version ii and version i, in that order.